[1]
BePbW2 after structural relaxation, computed with GGA-PBE.

Cell: 3.2600 4.5212 4.5274 Å, 90.00 90.00 90.00°
Space group Pmmm (No. 47)
Symmetry-distinct sites (fractional):
Be  0.0000  0.0000  0.0000 x1
Pb  0.5000  0.5000  0.0000 x1
W  0.0000  0.5000  0.5000 x1
W  0.5000  0.0000  0.5000 x1

Values from the calculation:
calculated density	14.53	g/cm3
final energy	-7.448	eV per atom
energy of formation from the pure elements	3.55	eV per formula unit
total magnetic moment	0.000	μB/f.u.

***

[2]
BePbW3 after structural relaxation, computed with GGA-PBE.

Cell: 4.3594 4.3594 4.3594 Å, 90.00 90.00 90.00°
Space group Pm-3m (No. 221)
Symmetry-distinct sites (fractional):
Be  0.0000  0.0000  0.0000 x1
Pb  0.5000  0.5000  0.5000 x1
W  0.0000  0.0000  0.5000 x3

Values from the calculation:
calculated density	15.39	g/cm3
final energy	-8.151	eV per atom
energy of formation from the pure elements	5.54	eV per formula unit
total magnetic moment	0.000	μB/f.u.